A:
A plane-wave DFT calculation with SCAN was carried out for ScTa2Mn at its PBEsol-relaxed geometry.

Total moment ... 3.3 μB/f.u.
Calculated volume ... 17.26 Å³/atom

Geometry as extended XYZ:
```
4
Lattice="3.9205 0.0000 0.0000 0.0000 3.9205 0.0000 0.0000 0.0000 4.4926" Properties=species:S:1:pos:R:3 pbc="T T T"
Sc 0.0000 0.0000 0.0000
Ta 0.0000 1.9603 2.2463
Ta 1.9603 0.0000 2.2463
Mn 1.9603 1.9603 0.0000
```



B:
A plane-wave DFT calculation with SCAN was carried out for ScTa2Mn at its PBEsol-relaxed geometry.

Total moment ... 0.0 μB/f.u.
Calculated volume ... 16.56 Å³/atom

Geometry as extended XYZ:
```
4
Lattice="2.9696 0.0000 0.0000 0.0000 4.2211 0.0000 -1.2440 0.0000 5.2844" Properties=species:S:1:pos:R:3 pbc="T T T"
Sc 0.0000 0.0000 0.0000
Ta -0.0163 2.1106 3.8302
Ta 1.7419 2.1106 1.4542
Mn 0.8628 0.0000 2.6422
```



C:
A plane-wave DFT calculation with SCAN was carried out for ScTa2Mn at its PBEsol-relaxed geometry.

Total moment ... 0.0 μB/f.u.
Calculated volume ... 16.67 Å³/atom

Geometry as extended XYZ:
```
4
Lattice="3.0753 0.0000 0.0000 0.0000 3.0753 0.0000 0.0000 0.0000 7.0516" Properties=species:S:1:pos:R:3 pbc="T T T"
Sc 0.0000 0.0000 0.0000
Ta 0.0000 0.0000 4.0082
Ta 1.5376 1.5376 2.1163
Mn 1.5376 1.5376 5.3217
```



D:
A plane-wave DFT calculation with SCAN was carried out for ScTa2Mn at its PBEsol-relaxed geometry.

Total moment ... 3.6 μB/f.u.
Calculated volume ... 16.29 Å³/atom

Geometry as extended XYZ:
```
4
Lattice="0.0000 3.1939 3.1939 3.1939 0.0000 3.1939 3.1939 3.1939 0.0000" Properties=species:S:1:pos:R:3 pbc="T T T"
Sc 0.0000 0.0000 0.0000
Ta 1.5969 1.5969 1.5969
Ta 3.1939 3.1939 3.1939
Mn 4.7908 4.7908 4.7908
```



Name the most stable of them. C.



A:
A plane-wave DFT calculation with SCAN was carried out for ScMn2Tc at its PBEsol-relaxed geometry.

Total moment ... 2.1 μB/f.u.
Calculated volume ... 13.56 Å³/atom

Geometry as extended XYZ:
```
4
Lattice="-1.4752 2.1581 4.2582 1.4752 -2.1581 4.2582 1.4752 2.1581 -4.2582" Properties=species:S:1:pos:R:3 pbc="T T T"
Sc 0.0000 0.0000 0.0000
Mn 0.0000 0.0000 4.2649
Mn 0.0000 2.1581 1.9438
Tc 1.4752 0.0000 2.3065
```



B:
A plane-wave DFT calculation with SCAN was carried out for ScMn2Tc at its PBEsol-relaxed geometry.

Total moment ... 0.1 μB/f.u.
Calculated volume ... 14.05 Å³/atom

Geometry as extended XYZ:
```
4
Lattice="3.0988 0.0000 0.0000 0.0000 4.1874 0.0000 0.0000 0.0000 4.3310" Properties=species:S:1:pos:R:3 pbc="T T T"
Sc 0.0000 0.0000 0.0000
Mn 0.0000 2.0937 2.1655
Mn 1.5494 0.0000 2.1655
Tc 1.5494 2.0937 0.0000
```



Name the most stable of them. B.



A:
A plane-wave DFT calculation with SCAN was carried out for Zr2ScMn at its PBEsol-relaxed geometry.

Total moment ... 0.0 μB/f.u.
Calculated volume ... 18.97 Å³/atom

Geometry as extended XYZ:
```
4
Lattice="-1.6315 2.4722 4.7041 1.6315 -2.4722 4.7041 1.6315 2.4722 -4.7041" Properties=species:S:1:pos:R:3 pbc="T T T"
Zr 0.0000 0.0000 1.9188
Zr 0.0000 0.0000 7.4894
Sc 0.0000 2.4722 0.0000
Mn 1.6315 0.0000 0.0000
```



B:
A plane-wave DFT calculation with SCAN was carried out for Zr2ScMn at its PBEsol-relaxed geometry.

Total moment ... 1.7 μB/f.u.
Calculated volume ... 19.60 Å³/atom

Geometry as extended XYZ:
```
4
Lattice="1.5903 0.9181 8.9474 -1.5903 0.9181 8.9474 0.0000 -1.8363 8.9474" Properties=species:S:1:pos:R:3 pbc="T T T"
Zr 0.0000 0.0000 6.2937
Zr 0.0000 0.0000 20.5485
Sc 0.0000 0.0000 0.0000
Mn 0.0000 0.0000 13.4211
```



C:
A plane-wave DFT calculation with SCAN was carried out for Zr2ScMn at its PBEsol-relaxed geometry.

Total moment ... 0.2 μB/f.u.
Calculated volume ... 19.09 Å³/atom

Geometry as extended XYZ:
```
4
Lattice="0.0000 3.3675 3.3675 3.3675 0.0000 3.3675 3.3675 3.3675 0.0000" Properties=species:S:1:pos:R:3 pbc="T T T"
Zr 0.0000 0.0000 0.0000
Zr 1.6838 1.6838 1.6838
Sc 3.3675 3.3675 3.3675
Mn 5.0513 5.0513 5.0513
```



D:
A plane-wave DFT calculation with SCAN was carried out for Zr2ScMn at its PBEsol-relaxed geometry.

Total moment ... 0.0 μB/f.u.
Calculated volume ... 18.80 Å³/atom

Geometry as extended XYZ:
```
4
Lattice="5.3853 -1.6270 0.0000 5.3853 1.6270 0.0000 -2.0851 0.0000 4.2906" Properties=species:S:1:pos:R:3 pbc="T T T"
Zr 0.0000 0.0000 0.0000
Zr 0.7416 0.0000 3.0305
Sc 7.9188 0.0000 1.2638
Mn 4.4791 0.0000 2.0366
```



Name the most stable of them. A.